Material: Pr2C3S2
Method: DFT, PBE
State: relaxed

Lattice parameters (Å, degrees): 12.0747 12.0747 3.0509 90.00 90.00 165.48
Sites, in units of the cell vectors:
1 Pr 0.0673 0.9327 0.0000
2 Pr 0.9327 0.0673 0.0000
3 C 0.3444 0.6556 0.5000
4 C 0.5000 0.5000 0.5000
5 C 0.6556 0.3444 0.5000
6 S 0.1810 0.8190 0.0000
7 S 0.8190 0.1810 0.0000

Calculated values
Symmetry = Cmmm (65)
VASP energy = -37.78 eV per cell
Theoretical density = 5.687 g/cm3